DFT (PBE) results for a geometry-optimized Nd2DyMg3AgHg2 structure.

Lattice parameters (Å, degrees): 4.238 7.901 7.901 119.98 90.00 90.00
Fractional positions:
Ag  0.500  0.004  0.004
Dy  0.500  0.408  0.408
Hg  0.000  0.660  0.335
Hg  0.000  0.335  0.660
Mg  0.000  0.243  0.003
Mg  0.000  0.003  0.243
Mg  0.000  0.756  0.756
Nd  0.500  0.999  0.590
Nd  0.500  0.590  0.999

Summary:
**Magnetization**: 0.033 μB/f.u.
**Energy**: -25.45 eV for the cell shown

DFT (PBE) results for a geometry-optimized KTmTe3Pd structure.

Lattice parameters (Å, degrees): 9.118 9.118 10.030 90.00 90.00 152.19
Fractional positions:
K  0.756  0.244  0.250
K  0.244  0.756  0.750
Pd  0.505  0.495  0.250
Pd  0.495  0.505  0.750
Te  0.388  0.612  0.085
Te  0.099  0.901  0.250
Te  0.388  0.612  0.415
Te  0.612  0.388  0.585
Te  0.901  0.099  0.750
Te  0.612  0.388  0.915
Tm  0.000  0.000  0.000
Tm  0.000  0.000  0.500

Summary:
**Magnetization**: 0.002 μB/f.u.
**Offset from the most stable computed form**: 0.00 kJ/mol of atoms

DFT (PBE) results for a geometry-optimized K3PdBrF6 structure.

Lattice parameters (Å, degrees): 7.949 7.949 5.861 90.00 90.00 90.00
Fractional positions:
Br  0.000  0.000  0.500
Br  0.500  0.500  0.500
F  0.327  0.173  0.000
F  0.827  0.327  0.000
F  0.173  0.673  0.000
F  0.673  0.827  0.000
F  0.619  0.119  0.242
F  0.119  0.381  0.242
F  0.881  0.619  0.242
F  0.381  0.881  0.242
F  0.619  0.119  0.758
F  0.119  0.381  0.758
F  0.881  0.619  0.758
F  0.381  0.881  0.758
K  0.000  0.000  0.000
K  0.500  0.500  0.000
K  0.334  0.166  0.500
K  0.834  0.334  0.500
K  0.166  0.666  0.500
K  0.666  0.834  0.500
Pd  0.500  0.000  0.000
Pd  0.000  0.500  0.000

Summary:
**Energy**: -85.94 eV for the cell shown